First-principles (PBE) data for crystalline Cs2TlSn2 at its relaxed geometry, as listed in Alexandria.

Calculated values
- Distance to the lowest polymorph of the same formula: 0.183 eV/atom

CIF file:
```
data_Cs2TlSn2
_chemical_formula_sum 'Cs4 Tl2 Sn4'
_symmetry_space_group_name_H-M 'P 4/m b m'
_symmetry_Int_Tables_number 127
_symmetry_space_group_name_Hall '-P 4 2ab'
_cell_length_a 11.176
_cell_length_b 11.176
_cell_length_c 3.646
_cell_angle_alpha 90.00
_cell_angle_beta 90.00
_cell_angle_gamma 90.00
loop_
_atom_site_label
_atom_site_fract_x
_atom_site_fract_y
_atom_site_fract_z
Cs1 0.203 0.297 0.000
Tl1 0.000 0.000 0.500
Sn1 0.090 0.590 0.500
```

---

First-principles (PBE) data for crystalline CsTl4Sn2 at its relaxed geometry, as listed in Alexandria.

CIF file:
```
data_CsTl4Sn2
_chemical_formula_sum 'Cs2 Tl8 Sn4'
_symmetry_space_group_name_H-M 'C m m m'
_symmetry_Int_Tables_number 65
_symmetry_space_group_name_Hall '-C 2 2'
_cell_length_a 5.678
_cell_length_b 16.560
_cell_length_c 5.293
_cell_angle_alpha 90.00
_cell_angle_beta 90.00
_cell_angle_gamma 90.00
loop_
_atom_site_label
_atom_site_fract_x
_atom_site_fract_y
_atom_site_fract_z
Cs1 0.000 0.000 0.000
Tl1 0.000 0.183 0.500
Tl2 0.000 0.307 0.000
Sn1 0.000 0.409 0.500
```

---

First-principles (PBE) data for crystalline CsTl2Sn at its relaxed geometry, as listed in Alexandria.

Calculated values
- Distance to the lowest polymorph of the same formula: 0.018 eV/atom

CIF file:
```
data_CsTl2Sn
_chemical_formula_sum 'Cs3 Tl6 Sn3'
_symmetry_space_group_name_H-M 'R 3 m'
_symmetry_Int_Tables_number 160
_symmetry_space_group_name_Hall 'R 3 -2"'
_cell_length_a 5.0668
_cell_length_b 5.0668
_cell_length_c 22.6862
_cell_angle_alpha 90.00
_cell_angle_beta 90.00
_cell_angle_gamma 120.00
loop_
_atom_site_label
_atom_site_fract_x
_atom_site_fract_y
_atom_site_fract_z
Cs1 0.0000 0.0000 0.0000
Tl1 0.0000 0.0000 0.5584
Tl2 0.0000 0.0000 0.7869
Sn1 0.0000 0.0000 0.1808
```

---

First-principles (PBE) data for crystalline CsTl11Sn at its relaxed geometry, as listed in Alexandria.

CIF file:
```
data_CsTl11Sn
_chemical_formula_sum 'Cs2 Tl22 Sn2'
_symmetry_space_group_name_H-M 'C 1 2/m 1'
_symmetry_Int_Tables_number 12
_symmetry_space_group_name_Hall '-C 2y'
_cell_length_a 6.579
_cell_length_b 16.080
_cell_length_c 8.794
_cell_angle_alpha 90.00
_cell_angle_beta 111.06
_cell_angle_gamma 90.00
loop_
_atom_site_label
_atom_site_fract_x
_atom_site_fract_y
_atom_site_fract_z
Cs1 0.000 0.000 0.000
Tl1 0.000 0.000 0.500
Tl2 0.107 0.393 0.221
Tl3 0.186 0.178 0.361
Tl4 0.250 0.250 0.000
Sn1 0.000 0.500 0.500
```

---

First-principles (PBE) data for crystalline Cs2Tl7Sn at its relaxed geometry, as listed in Alexandria.

Calculated values
- Distance to the lowest polymorph of the same formula: 0.164 eV/atom

CIF file:
```
data_Cs2Tl7Sn
_chemical_formula_sum 'Cs8 Tl28 Sn4'
_symmetry_space_group_name_H-M 'F m -3 m'
_symmetry_Int_Tables_number 225
_symmetry_space_group_name_Hall '-F 4 2 3'
_cell_length_a 12.304
_cell_length_b 12.304
_cell_length_c 12.304
_cell_angle_alpha 90.00
_cell_angle_beta 90.00
_cell_angle_gamma 90.00
loop_
_atom_site_label
_atom_site_fract_x
_atom_site_fract_y
_atom_site_fract_z
Cs1 0.250 0.250 0.250
Tl1 0.000 0.000 0.000
Tl2 0.000 0.000 0.257
Sn1 0.000 0.000 0.500
```

---

First-principles (PBE) data for crystalline Cs5Tl2Sn4 at its relaxed geometry, as listed in Alexandria.

CIF file:
```
data_Cs5Tl2Sn4
_chemical_formula_sum 'Cs10 Tl4 Sn8'
_symmetry_space_group_name_H-M 'C 1 2/m 1'
_symmetry_Int_Tables_number 12
_symmetry_space_group_name_Hall '-C 2y'
_cell_length_a 16.749
_cell_length_b 7.553
_cell_length_c 8.617
_cell_angle_alpha 90.00
_cell_angle_beta 108.05
_cell_angle_gamma 90.00
loop_
_atom_site_label
_atom_site_fract_x
_atom_site_fract_y
_atom_site_fract_z
Cs1 0.000 0.000 0.000
Cs2 0.112 0.258 0.424
Tl1 0.222 0.000 0.831
Sn1 0.107 0.500 0.864
Sn2 0.241 0.000 0.204
```

---

First-principles (PBE) data for crystalline Cs3Tl8Sn3 at its relaxed geometry, as listed in Alexandria.

CIF file:
```
data_Cs3Tl8Sn3
_chemical_formula_sum 'Cs6 Tl16 Sn6'
_symmetry_space_group_name_H-M 'I m m m'
_symmetry_Int_Tables_number 71
_symmetry_space_group_name_Hall '-I 2 2'
_cell_length_a 5.517
_cell_length_b 12.425
_cell_length_c 15.151
_cell_angle_alpha 90.00
_cell_angle_beta 90.00
_cell_angle_gamma 90.00
loop_
_atom_site_label
_atom_site_fract_x
_atom_site_fract_y
_atom_site_fract_z
Cs1 0.000 0.000 0.000
Cs2 0.000 0.000 0.293
Tl1 0.000 0.288 0.124
Tl2 0.000 0.348 0.339
Sn1 0.000 0.178 0.500
Sn2 0.000 0.500 0.000
```

---

First-principles (PBE) data for crystalline Cs3Tl5Sn2 at its relaxed geometry, as listed in Alexandria.

CIF file:
```
data_Cs3Tl5Sn2
_chemical_formula_sum 'Cs12 Tl20 Sn8'
_symmetry_space_group_name_H-M 'I b a m'
_symmetry_Int_Tables_number 72
_symmetry_space_group_name_Hall '-I 2 2c'
_cell_length_a 11.809
_cell_length_b 17.117
_cell_length_c 8.239
_cell_angle_alpha 90.00
_cell_angle_beta 90.00
_cell_angle_gamma 90.00
loop_
_atom_site_label
_atom_site_fract_x
_atom_site_fract_y
_atom_site_fract_z
Cs1 0.000 0.000 0.250
Cs2 0.247 0.371 0.000
Tl1 0.000 0.262 0.250
Tl2 0.000 0.500 0.250
Tl3 0.132 0.381 0.500
Sn1 0.124 0.166 0.000
```

---

Number 1: D(E_F) 7.79 states/eV/cell, energy relative to the elements 0.08 eV per atom, density 5.2 g cm⁻³. Number 2: D(E_F) 7.11 states/eV/cell, energy relative to the elements -0.06 eV per atom, density 7.9 g cm⁻³. Number 3: D(E_F) 8.81 states/eV/cell, energy relative to the elements -0.09 eV per atom, density 6.5 g cm⁻³. Number 4: D(E_F) 12.54 states/eV/cell, energy relative to the elements -0.02 eV per atom, density 9.6 g cm⁻³. Number 5: D(E_F) 22.68 states/eV/cell, energy relative to the elements 0.09 eV per atom, density 6.5 g cm⁻³. Number 6: D(E_F) 12.56 states/eV/cell, energy relative to the elements 0.00 eV per atom, density 5.0 g cm⁻³. Number 7: D(E_F) 12.96 states/eV/cell, energy relative to the elements -0.07 eV per atom, density 7.6 g cm⁻³. Number 8: D(E_F) 23.49 states/eV/cell, energy relative to the elements -0.07 eV per atom, density 6.6 g cm⁻³.